# Ti2Ga2Ag (PBE, optimized geometry)
data_Ti2Ga2Ag
_cell_length_a 7.840
_cell_length_b 7.840
_cell_length_c 2.853
_cell_angle_alpha 90.00
_cell_angle_beta 90.00
_cell_angle_gamma 90.00
_space_group_name_H-M_alt 'P 4/m b m'
_space_group_IT_number 127
_space_group_name_Hall '-P 4 2ab'
loop_
_atom_site_label
_atom_site_fract_x
_atom_site_fract_y
_atom_site_fract_z
Ti1 0.121 0.379 0.000
Ga1 0.179 0.679 0.500
Ag1 0.000 0.000 0.000
# Distance to the lowest polymorph of the same formula   0.191 eV/atom
# V   17.54 Å³/atom
# Total magnetic moment   0.0 μB per formula unit
# ΔH_f (0 K)   -0.08 eV/atom